1.
FeRuW2N | PBE | optimized geometry

Lattice parameters (Å, degrees): 4.0887 4.0887 3.8025 90.00 90.00 90.00
Last column: nearest neighbours and their distance in Å.
Sites, in units of the cell vectors:
N 0.0000 0.0000 0.0000  2 Fe 1.90, 4 W 2.04
Fe 0.0000 0.0000 0.5000  2 N 1.90
W 0.0000 0.5000 0.0000  2 N 2.04
W 0.5000 0.0000 0.0000  2 N 2.04
Ru 0.5000 0.5000 0.5000  8 W 2.79, 4 Fe 2.89

Volume: 64 Å³/cell
Space group: No. 123
Raw formation energy: -0.093 eV per formula unit
M_tot: 0.80 μB/cell

***

2.
Al2CdTcB | PBE | optimized geometry

Lattice parameters (Å, degrees): 4.2156 4.1708 4.2156 90.00 90.00 90.00
Last column: nearest neighbours and their distance in Å.
Sites, in units of the cell vectors:
B 0.0000 0.0000 0.0000  2 Tc 2.09, 4 Al 2.11
Al 0.0000 0.0000 0.5000  2 B 2.11
Tc 0.0000 0.5000 0.0000  2 B 2.09
Cd 0.5000 0.5000 0.5000  8 Al 2.97, 4 Tc 2.98
Al 0.5000 0.0000 0.0000  2 B 2.11

Volume: 74 Å³/cell
Energy relative to the elements: 0.1950 eV per atom
Space group: No. 123
M_tot: 0.00 μB/cell

***

3.
Sm5In2Si | PBE | optimized geometry

Lattice parameters (Å, degrees): 5.1204 6.8983 12.9989 90.00 90.00 90.00
Last column: nearest neighbours and their distance in Å.
Sites, in units of the cell vectors:
In 0.5000 0.1138 0.3428  9 Sm 3.19-3.51
In 0.5000 0.8862 0.6572  9 Sm 3.19-3.51
Si 0.0000 0.0000 0.0000  6 Sm 2.96-3.03
In 0.5000 0.3862 0.8428  9 Sm 3.19-3.51
Sm 0.5000 0.6699 0.4129  2 Si 3.03, 2 In 3.19-3.35, 1 Sm 3.26
Sm 0.0000 0.0000 0.5000  4 In 3.37, 2 Si 3.45, 4 Sm 3.61
Sm 0.0000 0.5000 0.0000  4 In 3.37, 2 Si 3.45, 4 Sm 3.61
Sm 0.0000 0.6289 0.7172  1 Si 2.96, 2 In 3.21
In 0.5000 0.6138 0.1572  9 Sm 3.19-3.51
Si 0.0000 0.5000 0.5000  6 Sm 2.96-3.03
Sm 0.5000 0.1699 0.0871  2 Si 3.03, 2 In 3.19-3.35, 1 Sm 3.26
Sm 0.5000 0.3301 0.5871  2 Si 3.03, 2 In 3.19-3.35, 1 Sm 3.26
Sm 0.0000 0.3711 0.2828  1 Si 2.96, 2 In 3.21
Sm 0.0000 0.1289 0.7828  1 Si 2.96, 2 In 3.21
Sm 0.5000 0.8301 0.9129  2 Si 3.03, 2 In 3.19-3.35, 1 Sm 3.26
Sm 0.0000 0.8711 0.2172  1 Si 2.96, 2 In 3.21

Volume: 459 Å³/cell
Space group: No. 55
Raw formation energy: -3.528 eV per formula unit
M_tot: 0.00 μB/cell

***

4.
Ba3Be2TcO8 | PBE | optimized geometry

Lattice parameters (Å, degrees): 5.5018 5.5018 7.3806 90.00 90.00 120.00
Last column: nearest neighbours and their distance in Å.
Sites, in units of the cell vectors:
O 0.6651 0.8326 0.3477  1 Be 1.72
O 0.6667 0.3333 0.9486  1 Be 1.52
Ba 0.6667 0.3333 0.2886  7 O 2.51-2.79
Ba 0.0000 0.0000 0.0000  12 O 3.02-3.20
O 0.8326 0.1674 0.6523  1 Be 1.72
Be 0.6667 0.3333 0.7424  1 O 1.52
O 0.1674 0.8326 0.3477  1 Be 1.72
O 0.1674 0.3349 0.3477  1 Be 1.72
O 0.3333 0.6667 0.0514  1 Be 1.52
O 0.3349 0.1674 0.6523  1 Be 1.72
Tc 0.0000 0.0000 0.5000  6 O 1.95
O 0.8326 0.6651 0.6523  1 Be 1.72
Ba 0.3333 0.6667 0.7114  7 O 2.51-2.79
Be 0.3333 0.6667 0.2576  1 O 1.52

Volume: 193 Å³/cell
Space group: No. 164
Raw formation energy: -31.937 eV per formula unit
M_tot: 0.98 μB/cell

***

5.
CeAl4OsPd2 | PBE | optimized geometry

Lattice parameters (Å, degrees): 4.2550 4.2550 9.3317 76.82 76.82 60.00
Last column: nearest neighbours and their distance in Å.
Sites, in units of the cell vectors:
Pd 0.7654 0.7654 0.7037  7 Al 2.56-2.67
Al 0.4052 0.4052 0.7845  1 Os 2.56, 3 Pd 2.56
Al 0.8644 0.8644 0.4070  3 Os 2.60, 4 Pd 2.65-2.67
Pd 0.2346 0.2346 0.2963  7 Al 2.56-2.67
Ce 0.0000 0.0000 0.0000  6 Al 3.13
Al 0.1356 0.1356 0.5930  3 Os 2.60, 4 Pd 2.65-2.67
Os 0.5000 0.5000 0.5000  8 Al 2.56-2.60
Al 0.5948 0.5948 0.2155  1 Os 2.56, 3 Pd 2.56

Volume: 141 Å³/cell
Energy relative to the elements: -0.6308 eV per atom
Space group: No. 166
M_tot: 0.78 μB/cell

***

6.
NbAlF3 | PBE | optimized geometry

Lattice parameters (Å, degrees): 4.0945 4.0945 4.0945 90.00 90.00 90.00
Last column: nearest neighbours and their distance in Å.
Sites, in units of the cell vectors:
F 0.0000 0.5000 0.0000  2 Al 2.05
Nb 0.5000 0.5000 0.5000  12 F 2.90
F 0.0000 0.0000 0.5000  2 Al 2.05
Al 0.0000 0.0000 0.0000  6 F 2.05
F 0.5000 0.0000 0.0000  2 Al 2.05

Volume: 69 Å³/cell
Offset from the most stable computed form: 324 meV/atom
Space group: No. 221
Raw formation energy: -6.155 eV per formula unit
M_tot: 4.10 μB/cell

***

7.
AcPdPb4 | PBE | optimized geometry

Lattice parameters (Å, degrees): 4.9082 8.6722 8.2709 90.00 90.00 90.00
Last column: nearest neighbours and their distance in Å.
Sites, in units of the cell vectors:
Pb 0.0000 0.0000 0.5000  4 Pb 3.24, 2 Pd 3.25
Ac 0.0000 0.3709 0.2500  1 Pd 2.95
Ac 0.0000 0.6291 0.7500  1 Pd 2.95
Pb 0.0000 0.0000 0.0000  4 Pb 3.24, 2 Pd 3.25
Pb 0.5000 0.0517 0.2500  8 Pb 3.24-3.59
Pd 0.0000 0.2892 0.7500  1 Ac 2.95, 6 Pb 2.95-3.25
Pb 0.5000 0.3181 0.9452  2 Pd 2.95, 2 Pb 3.23-3.28
Pb 0.5000 0.6819 0.0548  2 Pd 2.95, 2 Pb 3.23-3.28
Pb 0.5000 0.9483 0.7500  8 Pb 3.24-3.59
Pb 0.5000 0.6819 0.4452  2 Pd 2.95, 2 Pb 3.23-3.28
Pd 0.0000 0.7108 0.2500  1 Ac 2.95, 6 Pb 2.95-3.25
Pb 0.5000 0.3181 0.5548  2 Pd 2.95, 2 Pb 3.23-3.28

Volume: 352 Å³/cell
Offset from the most stable computed form: 0 meV/atom
Energy relative to the elements: -0.3016 eV per atom
Space group: No. 51
M_tot: 0.00 μB/cell

***

8.
ZrPaGeO6 | PBE | optimized geometry

Lattice parameters (Å, degrees): 5.6324 5.6324 8.8461 90.00 90.00 120.00
Last column: nearest neighbours and their distance in Å.
Sites, in units of the cell vectors:
Ge 0.0000 0.0000 0.5000  6 O 2.19
O 0.6707 0.0079 0.3715  1 Zr 2.14, 1 Pa 2.19, 1 Ge 2.19
O 0.6629 0.9921 0.8715  1 Zr 2.14, 1 Pa 2.19, 1 Ge 2.19
O 0.3371 0.3293 0.3715  1 Zr 2.14, 1 Pa 2.19, 1 Ge 2.19
Pa 0.6667 0.3333 0.7500  6 O 2.19
O 0.9921 0.6629 0.3715  1 Zr 2.14, 1 Pa 2.19, 1 Ge 2.19
O 0.0079 0.6707 0.8715  1 Zr 2.14, 1 Pa 2.19, 1 Ge 2.19
O 0.6707 0.6629 0.1285  1 Zr 2.14, 1 Pa 2.19, 1 Ge 2.19
O 0.3371 0.0079 0.1285  1 Zr 2.14, 1 Pa 2.19, 1 Ge 2.19
Zr 0.6667 0.3333 0.2500  6 O 2.14
Pa 0.3333 0.6667 0.2500  6 O 2.19
Zr 0.3333 0.6667 0.7500  6 O 2.14
O 0.6629 0.6707 0.6285  1 Zr 2.14, 1 Pa 2.19, 1 Ge 2.19
O 0.3293 0.9921 0.6285  1 Zr 2.14, 1 Pa 2.19, 1 Ge 2.19
O 0.3293 0.3371 0.8715  1 Zr 2.14, 1 Pa 2.19, 1 Ge 2.19
O 0.9921 0.3293 0.1285  1 Zr 2.14, 1 Pa 2.19, 1 Ge 2.19
Ge 0.0000 0.0000 0.0000  6 O 2.19
O 0.0079 0.3371 0.6285  1 Zr 2.14, 1 Pa 2.19, 1 Ge 2.19

Volume: 243 Å³/cell
Space group: No. 163
Raw formation energy: -23.154 eV per formula unit
M_tot: 0.00 μB/cell

***

9.
CeIn4Br7 | PBE | optimized geometry

Lattice parameters (Å, degrees): 5.7050 7.9237 11.6761 114.38 104.14 90.00
Last column: nearest neighbours and their distance in Å.
Sites, in units of the cell vectors:
Ce 0.0000 0.0000 0.0000  6 Br 2.85-2.92
Br 0.1175 0.3519 0.2350  1 Ce 2.92
Br 0.8825 0.6481 0.7650  1 Ce 2.92
Br 0.7230 0.7916 0.4460  4 In 2.96-3.27
Br 0.5000 0.0000 0.0000  2 Ce 2.85
Br 0.0821 0.8022 0.1641  1 Ce 2.90
In 0.5830 0.5299 0.1660  1 Br 2.96
Br 0.2770 0.2084 0.5540  4 In 2.96-3.27
Br 0.9179 0.1978 0.8359  1 Ce 2.90
In 0.7004 0.1475 0.4008  3 Br 3.07-3.27
In 0.2996 0.8525 0.5992  3 Br 3.07-3.27
In 0.4170 0.4701 0.8340  1 Br 2.96

Volume: 463 Å³/cell
Space group: No. 12
Raw formation energy: -12.074 eV per formula unit
M_tot: 1.00 μB/cell

***

10.
Li2Mg2Pb | PBE | optimized geometry

Lattice parameters (Å, degrees): 3.8256 3.8256 8.5631 77.09 77.09 90.00
Last column: nearest neighbours and their distance in Å.
Sites, in units of the cell vectors:
Li 0.2500 0.7500 0.5000  4 Li 2.71, 4 Mg 3.03
Pb 0.0000 0.0000 0.0000  8 Mg 3.20
Mg 0.3943 0.3943 0.2113  4 Li 3.03, 4 Pb 3.20
Li 0.7500 0.2500 0.5000  4 Li 2.71, 4 Mg 3.03
Mg 0.6057 0.6057 0.7887  4 Li 3.03, 4 Pb 3.20

Volume: 119 Å³/cell
Offset from the most stable computed form: 121 meV/atom
Energy relative to the elements: 0.0464 eV per atom
Space group: No. 139
M_tot: 0.00 μB/cell

***

11.
MnCdI2N | PBE | optimized geometry

Lattice parameters (Å, degrees): 5.7714 5.7714 3.6435 90.00 90.00 90.00
Last column: nearest neighbours and their distance in Å.
Sites, in units of the cell vectors:
Mn 0.0000 0.0000 0.0000  2 N 1.82
I 0.5000 0.0000 0.0000  2 Mn 2.89
N 0.0000 0.0000 0.5000  2 Mn 1.82
Cd 0.5000 0.5000 0.5000  8 I 3.41, 2 Cd 3.64
I 0.0000 0.5000 0.0000  2 Mn 2.89

Volume: 121 Å³/cell
Offset from the most stable computed form: 0 meV/atom
Space group: No. 123
Raw formation energy: 1.016 eV per formula unit
M_tot: 2.84 μB/cell

***

12.
TiCr2IrN | PBE | optimized geometry

Lattice parameters (Å, degrees): 3.8152 3.8152 4.1084 90.00 90.00 90.00
Last column: nearest neighbours and their distance in Å.
Sites, in units of the cell vectors:
N 0.0000 0.0000 0.0000  4 Cr 1.91, 2 Ti 2.05
Ti 0.0000 0.0000 0.5000  2 N 2.05
Cr 0.0000 0.5000 0.0000  2 N 1.91
Cr 0.5000 0.0000 0.0000  2 N 1.91
Ir 0.5000 0.5000 0.5000  4 Ti 2.70, 8 Cr 2.80

Volume: 60 Å³/cell
Offset from the most stable computed form: 0 meV/atom
Space group: No. 123
Raw formation energy: -2.986 eV per formula unit
M_tot: 1.47 μB/cell